An optimized crystal structure of Y2CoTc3. Source: Alexandria, functional PBE.

Cell lengths 5.2335, 5.2335, 13.6175 Å; angles 90.00, 90.00, 120.00 degrees
Closest atoms and distances in Å follow each position.
Space group R-3m (No. 166, hexagonal axes)
One atom of each set of equivalent atoms:
Y: 0.0000 0.0000 0.1248 (multiplicity 6)  3 Co 3.07, 9 Tc 3.12-3.22, 4 Y 3.23-3.40
Co: 0.0000 0.0000 0.5000 (multiplicity 3)  6 Tc 2.73
Tc: 0.0000 0.5000 0.0000 (multiplicity 9)  4 Tc 2.62, 2 Co 2.73

Output
Size of the total moment (μB/atom): 0.244
ΔE_f (meV per atom): -159
Uncorrected energy (eV/atom): -8.681
Crystal system: trigonal